Entry 1:
HfNbCrIr: optimized geometry, GGA-PBE.

Cell and atoms, written as POSCAR:
```
HfNbCrIr
1.0
0.000 3.193 3.193
3.193 0.000 3.193
3.193 3.193 0.000
Hf Nb Cr Ir
1 1 1 1
Cartesian
0.000 0.000 0.000
3.193 3.193 3.193
1.597 1.597 1.597
4.790 4.790 4.790
```

## Properties
energy of formation	-1.51	eV per formula unit
space-group type	F-43m
Fermi-level density of states	0.9	states/eV per cell

Entry 2:
HfCrIr2Pd: optimized geometry, GGA-PBE.

Cell and atoms, written as POSCAR:
```
HfCrIr2Pd
1.0
4.845 0.000 0.000
0.000 4.845 0.000
0.000 0.000 4.310
Hf Cr Ir Pd
1 1 2 1
Cartesian
0.000 0.000 0.000
2.422 2.422 0.000
0.000 2.422 2.155
2.422 0.000 2.155
2.422 2.422 2.155
```

## Properties
energy of formation	6.23	eV per formula unit
space-group type	P4/mmm
Fermi-level density of states	5.4	states/eV per cell

Entry 3:
HfCrIrPt2: optimized geometry, GGA-PBE.

Cell and atoms, written as POSCAR:
```
HfCrIrPt2
1.0
4.933 0.000 0.000
0.000 4.933 0.000
0.000 0.000 4.329
Hf Cr Ir Pt
1 1 1 2
Cartesian
0.000 0.000 0.000
2.467 2.467 0.000
2.467 2.467 2.165
0.000 2.467 2.165
2.467 0.000 2.165
```

## Properties
energy of formation	4.33	eV per formula unit
space-group type	P4/mmm
Fermi-level density of states	6.2	states/eV per cell

Entry 4:
HfCr2IrSe: optimized geometry, GGA-PBE.

Cell and atoms, written as POSCAR:
```
HfCr2IrSe
1.0
4.371 0.000 0.000
0.000 4.371 0.000
0.000 0.000 4.905
Hf Cr Ir Se
1 2 1 1
Cartesian
0.000 0.000 0.000
0.000 2.185 2.453
2.185 0.000 2.453
2.185 2.185 0.000
0.000 0.000 2.453
```

## Properties
space-group type	P4/mmm
Fermi-level density of states	5.9	states/eV per cell
calculated total energy	-38.1	eV per formula unit

Entry 5:
Hf2TaCrIr: optimized geometry, GGA-PBE.

Cell and atoms, written as POSCAR:
```
Hf2TaCrIr
1.0
4.978 0.000 0.000
0.000 4.978 0.000
0.000 0.000 4.432
Hf Ta Cr Ir
2 1 1 1
Cartesian
0.000 2.489 0.000
2.489 0.000 0.000
0.000 0.000 2.216
2.489 2.489 2.216
2.489 2.489 0.000
```

## Properties
energy of formation	4.44	eV per formula unit
space-group type	P4/mmm
Fermi-level density of states	8.5	states/eV per cell

Entry 6:
HfCrTcIr: optimized geometry, GGA-PBE.

Cell and atoms, written as POSCAR:
```
HfCrTcIr
1.0
0.000 3.155 3.155
3.155 0.000 3.155
3.155 3.155 0.000
Hf Cr Tc Ir
1 1 1 1
Cartesian
0.000 0.000 0.000
3.155 3.155 3.155
1.577 1.577 1.577
4.732 4.732 4.732
```

## Properties
energy of formation	-1.35	eV per formula unit
space-group type	F-43m
Fermi-level density of states	1.0	states/eV per cell

Entry 7:
HfCrTcIr2: optimized geometry, GGA-PBE.

Cell and atoms, written as POSCAR:
```
HfCrTcIr2
1.0
4.740 0.000 0.000
0.000 4.740 0.000
0.000 0.000 4.284
Hf Cr Tc Ir
1 1 1 2
Cartesian
0.000 0.000 0.000
2.370 2.370 0.000
2.370 2.370 2.142
0.000 2.370 2.142
2.370 0.000 2.142
```

## Properties
energy of formation	5.23	eV per formula unit
space-group type	P4/mmm
Fermi-level density of states	4.9	states/eV per cell

Entry 8:
KHfCr2: optimized geometry, GGA-PBE.

Cell and atoms, written as POSCAR:
```
KHfCr2
1.0
-2.534 2.534 9.263
2.534 -2.534 9.263
2.534 2.534 -9.263
K Hf Cr
2 2 4
Cartesian
2.534 1.267 2.316
0.000 1.267 6.947
2.534 -1.267 6.947
0.000 3.801 2.316
0.000 0.000 0.000
1.267 1.267 -4.632
1.267 -1.267 4.632
0.000 2.534 0.000
```

## Properties
energy of formation	6.60	eV per formula unit
space-group type	I4_1/amd
Fermi-level density of states	7.1	states/eV per cell
relative energy among the computed polymorphs	318.8	meV per atom

Entry 9:
KHf3Cr: optimized geometry, GGA-PBE.

Cell and atoms, written as POSCAR:
```
KHf3Cr
1.0
5.027 0.000 0.000
0.000 5.027 0.000
0.000 0.000 5.027
K Hf Cr
1 3 1
Cartesian
0.000 0.000 0.000
0.000 2.513 2.513
2.513 0.000 2.513
2.513 2.513 0.000
2.513 2.513 2.513
```

## Properties
energy of formation	4.40	eV per formula unit
space-group type	Pm-3m
Fermi-level density of states	12.1	states/eV per cell
relative energy among the computed polymorphs	0.0	meV per atom

Entry 10:
KHf3Cr: optimized geometry, GGA-PBE.

Cell and atoms, written as POSCAR:
```
KHf3Cr
1.0
4.759 0.000 0.000
0.000 4.759 0.000
0.000 0.000 4.759
K Hf Cr
1 3 1
Cartesian
0.000 0.000 0.000
0.000 0.000 2.379
0.000 2.379 0.000
2.379 0.000 0.000
2.379 2.379 2.379
```

## Properties
energy of formation	12.97	eV per formula unit
space-group type	Pm-3m
Fermi-level density of states	10.2	states/eV per cell
relative energy among the computed polymorphs	1712.4	meV per atom

Entry 11:
K2HfCr: optimized geometry, GGA-PBE.

Cell and atoms, written as POSCAR:
```
K2HfCr
1.0
0.000 4.128 4.128
4.128 0.000 4.128
4.128 4.128 0.000
K Hf Cr
2 1 1
Cartesian
2.064 2.064 2.064
6.192 6.192 6.192
0.000 0.000 0.000
4.128 4.128 4.128
```

## Properties
energy of formation	6.56	eV per formula unit
space-group type	Fm-3m
Fermi-level density of states	3.0	states/eV per cell
relative energy among the computed polymorphs	228.7	meV per atom

Entry 12:
KHfCr2: optimized geometry, GGA-PBE.

Cell and atoms, written as POSCAR:
```
KHfCr2
1.0
0.000 3.516 3.516
3.516 0.000 3.516
3.516 3.516 0.000
K Hf Cr
1 1 2
Cartesian
0.000 0.000 0.000
3.516 3.516 3.516
1.758 1.758 1.758
5.274 5.274 5.274
```

## Properties
energy of formation	5.33	eV per formula unit
space-group type	Fm-3m
Fermi-level density of states	3.2	states/eV per cell
relative energy among the computed polymorphs	0.0	meV per atom

Entry 13:
K2HfCr: optimized geometry, GGA-PBE.

Cell and atoms, written as POSCAR:
```
K2HfCr
1.0
-6.243 6.243 2.409
6.243 -6.243 2.409
6.243 6.243 -2.409
K Hf Cr
4 2 2
Cartesian
1.320 3.122 0.602
-3.122 4.923 1.807
-1.320 9.365 0.602
3.122 7.564 1.807
6.243 0.000 1.205
0.000 0.000 2.409
0.000 0.000 0.000
0.000 6.243 1.205
```

## Properties
energy of formation	5.65	eV per formula unit
space-group type	I-42d
Fermi-level density of states	7.9	states/eV per cell
relative energy among the computed polymorphs	0.0	meV per atom